*w*
Below is crystalline LaCl2F at its relaxed geometry, with properties calculated at the PBE level.

Summary:
For the density of states at the Fermi level, the calculation gives 0.0 states/eV/cell. The volume is 31.9 Å³/atom.

Structure (CIF):
```
data_LaCl2F
_chemical_formula_sum 'La3 Cl6 F3'
_space_group_name_H-M_alt 'R -3 m'
_space_group_IT_number 166
_space_group_name_Hall '-R 3 2"'
_cell_length_a 4.5734
_cell_length_b 4.5734
_cell_length_c 21.1146
_cell_angle_alpha 90.00
_cell_angle_beta 90.00
_cell_angle_gamma 120.00
loop_
_atom_site_label
_atom_site_type_symbol
_atom_site_fract_x
_atom_site_fract_y
_atom_site_fract_z
_atom_site_occupancy
La1 La 0.0000 0.0000 0.0000 1
Cl1 Cl 0.0000 0.0000 0.3834 1
F1 F 0.0000 0.0000 0.5000 1
```

=====

*x*
Below is crystalline LaCl2F at its relaxed geometry, with properties calculated at the PBE level.

Summary:
For the density of states at the Fermi level, the calculation gives 0.0 states/eV/cell. The volume is 22.2 Å³/atom.

Structure (CIF):
```
data_LaCl2F
_chemical_formula_sum 'La8 Cl16 F8'
_space_group_name_H-M_alt 'F m m m'
_space_group_IT_number 69
_space_group_name_Hall '-F 2 2'
_cell_length_a 8.548
_cell_length_b 8.755
_cell_length_c 9.487
_cell_angle_alpha 90.00
_cell_angle_beta 90.00
_cell_angle_gamma 90.00
loop_
_atom_site_label
_atom_site_type_symbol
_atom_site_fract_x
_atom_site_fract_y
_atom_site_fract_z
_atom_site_occupancy
La1 La 0.000 0.215 0.000 1
Cl1 Cl 0.183 0.000 0.500 1
Cl2 Cl 0.250 0.250 0.250 1
F1 F 0.000 0.000 0.139 1
```

=====

Which structure is the most stable? The one labeled *x*.

=====

*w*
Below is crystalline LaCl2F at its relaxed geometry, with properties calculated at the PBE level.

Summary:
For the density of states at the Fermi level, the calculation gives 0.0 states/eV/cell. The volume is 19.7 Å³/atom.

Structure (CIF):
```
data_LaCl2F
_chemical_formula_sum 'La4 Cl8 F4'
_space_group_name_H-M_alt 'F m -3 m'
_space_group_IT_number 225
_space_group_name_Hall '-F 4 2 3'
_cell_length_a 6.805
_cell_length_b 6.805
_cell_length_c 6.805
_cell_angle_alpha 90.00
_cell_angle_beta 90.00
_cell_angle_gamma 90.00
loop_
_atom_site_label
_atom_site_type_symbol
_atom_site_fract_x
_atom_site_fract_y
_atom_site_fract_z
_atom_site_occupancy
La1 La 0.000 0.000 0.000 1
Cl1 Cl 0.250 0.250 0.250 1
F1 F 0.000 0.000 0.500 1
```

=====

*x*
Below is crystalline LaCl2F at its relaxed geometry, with properties calculated at the PBE level.

Summary:
For the density of states at the Fermi level, the calculation gives 0.0 states/eV/cell. The volume is 26.2 Å³/atom.

Structure (CIF):
```
data_LaCl2F
_chemical_formula_sum 'La2 Cl4 F2'
_space_group_name_H-M_alt 'C 1 m 1'
_space_group_IT_number 8
_cell_length_a 7.260
_cell_length_b 4.191
_cell_length_c 7.269
_cell_angle_alpha 90.00
_cell_angle_beta 108.72
_cell_angle_gamma 90.00
loop_
_space_group_symop_operation_xyz
'x,y,z'
'x,-y,z'
'x+1/2,y+1/2,z'
'x+1/2,-y+1/2,z'
loop_
_atom_site_label
_atom_site_type_symbol
_atom_site_fract_x
_atom_site_fract_y
_atom_site_fract_z
_atom_site_occupancy
La1 La 0.000 0.000 0.000 1
Cl1 Cl 0.084 0.500 0.741 1
Cl2 Cl 0.250 0.500 0.259 1
F1 F 0.333 0.000 0.000 1
```

=====

*y*
Below is crystalline LaCl2F at its relaxed geometry, with properties calculated at the PBE level.

Summary:
For the density of states at the Fermi level, the calculation gives 0.0 states/eV/cell. The volume is 23.0 Å³/atom.

Structure (CIF):
```
data_LaCl2F
_chemical_formula_sum 'La4 Cl8 F4'
_space_group_name_H-M_alt 'I -4 2 d'
_space_group_IT_number 122
_space_group_name_Hall 'I -4 2bw'
_cell_length_a 4.438
_cell_length_b 4.438
_cell_length_c 18.677
_cell_angle_alpha 90.00
_cell_angle_beta 90.00
_cell_angle_gamma 90.00
loop_
_atom_site_label
_atom_site_type_symbol
_atom_site_fract_x
_atom_site_fract_y
_atom_site_fract_z
_atom_site_occupancy
La1 La 0.000 0.000 0.000 1
Cl1 Cl 0.238 0.250 0.125 1
F1 F 0.000 0.000 0.500 1
```

=====

Which structure is the most stable? The one labeled *x*.

=====

*w*
Below is crystalline LaClF at its relaxed geometry, with properties calculated at the PBE level.

Summary:
For the density of states at the Fermi level, the calculation gives 4.5 states/eV/cell. The volume is 23.1 Å³/atom.

Structure (CIF):
```
data_LaClF
_chemical_formula_sum 'La4 Cl4 F4'
_space_group_name_H-M_alt 'C m c m'
_space_group_IT_number 63
_space_group_name_Hall '-C 2c 2'
_cell_length_a 3.461
_cell_length_b 11.957
_cell_length_c 6.691
_cell_angle_alpha 90.00
_cell_angle_beta 90.00
_cell_angle_gamma 90.00
loop_
_atom_site_label
_atom_site_type_symbol
_atom_site_fract_x
_atom_site_fract_y
_atom_site_fract_z
_atom_site_occupancy
La1 La 0.000 0.000 0.000 1
Cl1 Cl 0.000 0.346 0.250 1
F1 F 0.000 0.414 0.750 1
```

=====

*x*
Below is crystalline LaClF at its relaxed geometry, with properties calculated at the PBE level.

Summary:
For the density of states at the Fermi level, the calculation gives 2.5 states/eV/cell. The volume is 20.1 Å³/atom.

Structure (CIF):
```
data_LaClF
_chemical_formula_sum 'La2 Cl2 F2'
_space_group_name_H-M_alt 'I 4 m m'
_space_group_IT_number 107
_space_group_name_Hall 'I 4 -2'
_cell_length_a 3.482
_cell_length_b 3.482
_cell_length_c 9.953
_cell_angle_alpha 90.00
_cell_angle_beta 90.00
_cell_angle_gamma 90.00
loop_
_atom_site_label
_atom_site_type_symbol
_atom_site_fract_x
_atom_site_fract_y
_atom_site_fract_z
_atom_site_occupancy
La1 La 0.000 0.000 0.000 1
Cl1 Cl 0.000 0.000 0.316 1
F1 F 0.000 0.000 0.596 1
```

=====

Which structure is the most stable? The one labeled *x*.

=====

*w*
Below is crystalline LaNClF2 at its relaxed geometry, with properties calculated at the PBE level.

Summary:
For the density of states at the Fermi level, the calculation gives 2.1 states/eV/cell. The volume is 15.7 Å³/atom.

Structure (CIF):
```
data_LaNClF2
_chemical_formula_sum 'La1 N1 Cl1 F2'
_space_group_name_H-M_alt 'P 4/m m m'
_space_group_IT_number 123
_space_group_name_Hall '-P 4 2'
_cell_length_a 4.384
_cell_length_b 4.384
_cell_length_c 4.094
_cell_angle_alpha 90.00
_cell_angle_beta 90.00
_cell_angle_gamma 90.00
loop_
_atom_site_label
_atom_site_type_symbol
_atom_site_fract_x
_atom_site_fract_y
_atom_site_fract_z
_atom_site_occupancy
La1 La 0.000 0.000 0.000 1
N1 N 0.500 0.500 0.000 1
Cl1 Cl 0.500 0.500 0.500 1
F1 F 0.000 0.500 0.500 1
```

=====

*x*
Below is crystalline LaNClF2 at its relaxed geometry, with properties calculated at the PBE level.

Summary:
For the density of states at the Fermi level, the calculation gives 3.8 states/eV/cell. The volume is 22.1 Å³/atom.

Structure (CIF):
```
data_LaNClF2
_chemical_formula_sum 'La1 N1 Cl1 F2'
_space_group_name_H-M_alt 'P 4/m m m'
_space_group_IT_number 123
_space_group_name_Hall '-P 4 2'
_cell_length_a 4.550
_cell_length_b 4.550
_cell_length_c 5.340
_cell_angle_alpha 90.00
_cell_angle_beta 90.00
_cell_angle_gamma 90.00
loop_
_atom_site_label
_atom_site_type_symbol
_atom_site_fract_x
_atom_site_fract_y
_atom_site_fract_z
_atom_site_occupancy
La1 La 0.000 0.000 0.000 1
N1 N 0.000 0.000 0.500 1
Cl1 Cl 0.500 0.500 0.500 1
F1 F 0.000 0.500 0.000 1
```

=====

Which structure is the most stable? The one labeled *x*.

=====

*w*
Below is crystalline LaP2ClF at its relaxed geometry, with properties calculated at the PBE level.

Summary:
For the density of states at the Fermi level, the calculation gives 1.1 states/eV/cell. The volume is 19.2 Å³/atom.

Structure (CIF):
```
data_LaP2ClF
_chemical_formula_sum 'La1 P2 Cl1 F1'
_space_group_name_H-M_alt 'P 4/m m m'
_space_group_IT_number 123
_space_group_name_Hall '-P 4 2'
_cell_length_a 4.225
_cell_length_b 4.225
_cell_length_c 5.375
_cell_angle_alpha 90.00
_cell_angle_beta 90.00
_cell_angle_gamma 90.00
loop_
_atom_site_label
_atom_site_type_symbol
_atom_site_fract_x
_atom_site_fract_y
_atom_site_fract_z
_atom_site_occupancy
La1 La 0.000 0.000 0.000 1
P1 P 0.000 0.500 0.500 1
Cl1 Cl 0.500 0.500 0.000 1
F1 F 0.500 0.500 0.500 1
```

=====

*x*
Below is crystalline LaP2ClF at its relaxed geometry, with properties calculated at the PBE level.

Summary:
For the density of states at the Fermi level, the calculation gives 9.8 states/eV/cell. The volume is 38.2 Å³/atom.

Structure (CIF):
```
data_LaP2ClF
_chemical_formula_sum 'La1 P2 Cl1 F1'
_space_group_name_H-M_alt 'P 4/m m m'
_space_group_IT_number 123
_space_group_name_Hall '-P 4 2'
_cell_length_a 5.923
_cell_length_b 5.923
_cell_length_c 5.450
_cell_angle_alpha 90.00
_cell_angle_beta 90.00
_cell_angle_gamma 90.00
loop_
_atom_site_label
_atom_site_type_symbol
_atom_site_fract_x
_atom_site_fract_y
_atom_site_fract_z
_atom_site_occupancy
La1 La 0.000 0.000 0.000 1
P1 P 0.000 0.500 0.000 1
Cl1 Cl 0.000 0.000 0.500 1
F1 F 0.500 0.500 0.500 1
```

=====

Which structure is the most stable? The one labeled *w*.

=====

*w*
Below is crystalline LiCl2F8 at its relaxed geometry, with properties calculated at the PBE level.

Summary:
For the density of states at the Fermi level, the calculation gives 10.4 states/eV/cell. The volume is 14.7 Å³/atom.

Structure (CIF):
```
data_LiCl2F8
_chemical_formula_sum 'Li2 Cl4 F16'
_space_group_name_H-M_alt 'C 1 2/m 1'
_space_group_IT_number 12
_cell_length_a 8.731
_cell_length_b 6.949
_cell_length_c 5.713
_cell_angle_alpha 90.00
_cell_angle_beta 111.29
_cell_angle_gamma 90.00
loop_
_space_group_symop_operation_xyz
'x,y,z'
'-x,-y,-z'
'-x,y,-z'
'x,-y,z'
'x+1/2,y+1/2,z'
'-x+1/2,-y+1/2,-z'
'-x+1/2,y+1/2,-z'
'x+1/2,-y+1/2,z'
loop_
_atom_site_label
_atom_site_type_symbol
_atom_site_fract_x
_atom_site_fract_y
_atom_site_fract_z
_atom_site_occupancy
Li1 Li 0.000 0.000 0.000 1
Cl1 Cl 0.182 0.000 0.608 1
F1 F 0.025 0.174 0.758 1
F2 F 0.175 0.500 0.115 1
F3 F 0.183 0.500 0.541 1
```

=====

*x*
Below is crystalline LiCl2F8 at its relaxed geometry, with properties calculated at the PBE level.

Summary:
For the density of states at the Fermi level, the calculation gives 8.5 states/eV/cell. The volume is 16.0 Å³/atom.

Structure (CIF):
```
data_LiCl2F8
_chemical_formula_sum 'Li4 Cl8 F32'
_space_group_name_H-M_alt 'C 1 2/c 1'
_space_group_IT_number 15
_cell_length_a 13.595
_cell_length_b 6.138
_cell_length_c 10.739
_cell_angle_alpha 90.00
_cell_angle_beta 128.30
_cell_angle_gamma 90.00
loop_
_space_group_symop_operation_xyz
'x,y,z'
'-x,-y,-z'
'-x,y,-z+1/2'
'x,-y,z+1/2'
'x+1/2,y+1/2,z'
'-x+1/2,-y+1/2,-z'
'-x+1/2,y+1/2,-z+1/2'
'x+1/2,-y+1/2,z+1/2'
loop_
_atom_site_label
_atom_site_type_symbol
_atom_site_fract_x
_atom_site_fract_y
_atom_site_fract_z
_atom_site_occupancy
Li1 Li 0.000 0.095 0.250 1
Cl1 Cl 0.123 0.194 0.079 1
F1 F 0.103 0.285 0.223 1
F2 F 0.121 0.085 0.634 1
F3 F 0.125 0.460 0.029 1
F4 F 0.131 0.093 0.926 1
```

=====

Which structure is the most stable? The one labeled *x*.